Entry 1:
Here is Be4CuAg at its PBEsol-relaxed geometry from Alexandria. Energies are from SCAN.

Values from the calculation:
Formation enthalpy at 0 K = -0.67 eV per formula unit
Crystal system = cubic
Space-group type = F-43m (216)

abc: 4.3451 4.3451 4.3451
angles: 60.00 60.00 60.00
With the nearest neighbours (Å) after each atom.
Sites, in units of the cell vectors:
Be  0.3755  0.3755  0.3755  6 Be 2.16-2.18
Be  0.3755  0.3755  0.8735  6 Be 2.16-2.18
Be  0.8735  0.3755  0.3755  6 Be 2.16-2.18
Be  0.3755  0.8735  0.3755  6 Be 2.16-2.18
Ag  0.0000  0.0000  0.0000  12 Be 2.55, 4 Cu 2.66
Cu  0.7500  0.7500  0.7500  12 Be 2.55, 4 Ag 2.66

Entry 2:
Here is Be2CuAg at its PBEsol-relaxed geometry from Alexandria. Energies are from SCAN.

Values from the calculation:
Formation enthalpy at 0 K = 0.09 eV per formula unit
Energy above the most stable polymorph in this dataset = 42 meV/atom
Crystal system = tetragonal
Space-group type = P4mm (99)

abc: 2.7303 2.7303 5.8553
angles: 90.00 90.00 90.00
With the nearest neighbours (Å) after each atom.
Sites, in units of the cell vectors:
Be  0.0000  0.0000  0.0425  4 Be 2.24, 1 Cu 2.35, 4 Ag 2.48
Be  0.5000  0.5000  0.2376  4 Be 2.24, 4 Cu 2.28
Cu  0.0000  0.0000  0.4439  5 Be 2.28-2.35
Ag  0.5000  0.5000  0.7760  5 Be 2.48-2.70, 4 Ag 2.73, 4 Cu 2.74

Entry 3:
Here is Be2CuAg at its PBEsol-relaxed geometry from Alexandria. Energies are from SCAN.

Values from the calculation:
Formation enthalpy at 0 K = -0.07 eV per formula unit
Energy above the most stable polymorph in this dataset = 0 meV/atom
Crystal system = tetragonal
Space-group type = P4/mmm (123)

abc: 2.7836 3.9667 3.9667
angles: 90.00 90.00 90.00
With the nearest neighbours (Å) after each atom.
Sites, in units of the cell vectors:
Be  0.0000  0.0000  0.5000  4 Cu 2.42, 4 Ag 2.42
Be  0.0000  0.5000  0.0000  4 Cu 2.42, 4 Ag 2.42
Cu  0.5000  0.5000  0.5000  8 Be 2.42
Ag  0.5000  0.0000  0.0000  8 Be 2.42

Entry 4:
Here is BeAgF2 at its PBEsol-relaxed geometry from Alexandria. Energies are from SCAN.

Values from the calculation:
Crystal system = trigonal
E_form (uncorrected) = -1.64 eV per atom
Space-group type = R-3m (166)

abc: 2.8929 2.8929 9.0369
angles: 80.79 80.79 60.00
With the nearest neighbours (Å) after each atom.
Sites, in units of the cell vectors:
Be  0.0000  0.0000  0.0000  2 F 1.38
Ag  0.5000  0.5000  0.5000  6 Ag 2.89
F  0.9481  0.9481  0.1556  1 Be 1.38
F  0.0519  0.0519  0.8444  1 Be 1.38

Entry 5:
Here is BeAgF3 at its PBEsol-relaxed geometry from Alexandria. Energies are from SCAN.

Values from the calculation:
Crystal system = cubic
E_form (uncorrected) = -2.31 eV per atom
Space-group type = Pm-3m (221)

abc: 3.6200 3.6200 3.6200
angles: 90.00 90.00 90.00
With the nearest neighbours (Å) after each atom.
Sites, in units of the cell vectors:
Be  0.0000  0.0000  0.0000  6 F 1.81
Ag  0.5000  0.5000  0.5000  12 F 2.56
F  0.0000  0.5000  0.0000  2 Be 1.81
F  0.0000  0.0000  0.5000  2 Be 1.81
F  0.5000  0.0000  0.0000  2 Be 1.81

Entry 6:
Here is LiBeAg2F at its PBEsol-relaxed geometry from Alexandria. Energies are from SCAN.

Values from the calculation:
Crystal system = tetragonal
E_form (uncorrected) = -0.38 eV per atom
Space-group type = P4/mmm (123)

abc: 3.2015 4.7731 4.7731
angles: 90.00 90.00 90.00
With the nearest neighbours (Å) after each atom.
Sites, in units of the cell vectors:
Be  0.5000  0.5000  0.5000  8 Ag 2.87, 2 Be 3.20
Li  0.5000  0.0000  0.0000  2 F 1.60
Ag  0.0000  0.0000  0.5000  2 F 2.39
Ag  0.0000  0.5000  0.0000  2 F 2.39
F  0.0000  0.0000  0.0000  2 Li 1.60

Entry 7:
Here is BeAgO2F at its PBEsol-relaxed geometry from Alexandria. Energies are from SCAN.

Values from the calculation:
Crystal system = tetragonal
E_form (uncorrected) = -1.11 eV per atom
Space-group type = P4/mmm (123)

abc: 3.2988 3.6367 3.6367
angles: 90.00 90.00 90.00
With the nearest neighbours (Å) after each atom.
Sites, in units of the cell vectors:
Be  0.0000  0.0000  0.0000  2 F 1.65, 4 O 1.82
O  0.0000  0.0000  0.5000  2 Be 1.82
O  0.0000  0.5000  0.0000  2 Be 1.82
Ag  0.5000  0.5000  0.5000  8 O 2.45, 4 F 2.57
F  0.5000  0.0000  0.0000  2 Be 1.65

Entry 8:
Here is BeFeAgI2 at its PBEsol-relaxed geometry from Alexandria. Energies are from SCAN.

Values from the calculation:
Crystal system = tetragonal
E_form (uncorrected) = 0.98 eV per atom
Space-group type = P4/mmm (123)

abc: 5.1155 5.1155 4.9236
angles: 90.00 90.00 90.00
With the nearest neighbours (Å) after each atom.
Sites, in units of the cell vectors:
I  0.0000  0.5000  0.0000  2 Fe 2.56
I  0.5000  0.0000  0.0000  2 Fe 2.56
Be  0.5000  0.5000  0.5000  8 I 3.55, 4 Ag 3.62
Fe  0.0000  0.0000  0.0000  2 Ag 2.46, 4 I 2.56
Ag  0.0000  0.0000  0.5000  2 Fe 2.46

Entry 9:
Here is RbBeGa2Ag at its PBEsol-relaxed geometry from Alexandria. Energies are from SCAN.

Values from the calculation:
Formation enthalpy at 0 K = 2.14 eV per formula unit
Crystal system = tetragonal
Space-group type = P4/mmm (123)

abc: 4.6727 5.0462 5.0462
angles: 90.00 90.00 90.00
With the nearest neighbours (Å) after each atom.
Sites, in units of the cell vectors:
Be  0.5000  0.0000  0.0000  2 Ag 2.34
Ga  0.0000  0.0000  0.5000  2 Ag 2.52
Ga  0.0000  0.5000  0.0000  2 Ag 2.52
Rb  0.5000  0.5000  0.5000  8 Ga 3.44, 4 Be 3.57
Ag  0.0000  0.0000  0.0000  2 Be 2.34, 4 Ga 2.52

Entry 10:
Here is Be2AgGe at its PBEsol-relaxed geometry from Alexandria. Energies are from SCAN.

Values from the calculation:
Formation enthalpy at 0 K = 1.53 eV per formula unit
Energy above the most stable polymorph in this dataset = 0 meV/atom
Crystal system = cubic
Space-group type = Fm-3m (225)

abc: 4.1737 4.1737 4.1737
angles: 60.00 60.00 60.00
With the nearest neighbours (Å) after each atom.
Sites, in units of the cell vectors:
Be  0.2500  0.2500  0.2500  4 Ge 2.56, 4 Ag 2.56
Be  0.7500  0.7500  0.7500  4 Ge 2.56, 4 Ag 2.56
Ge  0.0000  0.0000  0.0000  8 Be 2.56
Ag  0.5000  0.5000  0.5000  8 Be 2.56

Entry 11:
Here is Be2AgGe at its PBEsol-relaxed geometry from Alexandria. Energies are from SCAN.

Values from the calculation:
Formation enthalpy at 0 K = 2.48 eV per formula unit
Energy above the most stable polymorph in this dataset = 238 meV/atom
Crystal system = tetragonal
Space-group type = I-42d (122)

abc: 5.3175 5.3175 5.3175
angles: 104.80 104.80 119.28
With the nearest neighbours (Å) after each atom.
Sites, in units of the cell vectors:
Be  0.8606  0.8750  0.4856  2 Ge 2.33, 2 Ag 2.45
Be  0.3894  0.3750  0.5144  2 Ge 2.33, 2 Ag 2.45
Be  0.1250  0.6106  0.9856  2 Ge 2.33, 2 Ag 2.45
Be  0.6250  0.1394  0.0144  2 Ge 2.33, 2 Ag 2.45
Ge  0.5000  0.5000  0.0000  4 Be 2.33
Ge  0.7500  0.2500  0.5000  4 Be 2.33
Ag  0.0000  0.0000  0.0000  4 Be 2.45, 2 Ge 2.69
Ag  0.2500  0.7500  0.5000  4 Be 2.45, 2 Ge 2.69

Entry 12:
Here is LiBe2AgGe at its PBEsol-relaxed geometry from Alexandria. Energies are from SCAN.

Values from the calculation:
Formation enthalpy at 0 K = 2.70 eV per formula unit
Crystal system = tetragonal
Space-group type = P4/mmm (123)

abc: 4.1793 4.1793 5.0374
angles: 90.00 90.00 90.00
With the nearest neighbours (Å) after each atom.
Sites, in units of the cell vectors:
Be  0.0000  0.5000  0.0000  2 Ge 2.09
Be  0.5000  0.0000  0.0000  2 Ge 2.09
Ge  0.0000  0.0000  0.0000  4 Be 2.09
Ag  0.0000  0.0000  0.5000  2 Ge 2.52
Li  0.5000  0.5000  0.5000  4 Ag 2.96, 8 Be 3.27

The evaluated total DFT energy (no corrections) for the records listed, in turn: -64.646 -55.180 -55.348 -49.377 -57.903 -74.904 -57.278 -122.439 -87.017 -57.631 -113.361 -58.849 eV for the cell shown.